1.
A plane-wave DFT calculation with PBE was carried out for a relaxed structure of Bi2WN.

CIF file:
```
data_Bi2WN
_chemical_formula_sum 'Bi8 W4 N4'
_cell_length_a 6.221
_cell_length_b 6.221
_cell_length_c 9.824
_cell_angle_alpha 90.00
_cell_angle_beta 90.00
_cell_angle_gamma 90.00
_symmetry_space_group_name_H-M 'I -4 2 d'
_symmetry_Int_Tables_number 122
_symmetry_space_group_name_Hall 'I -4 2bw'
loop_
_atom_site_label
_atom_site_type_symbol
_atom_site_fract_x
_atom_site_fract_y
_atom_site_fract_z
_atom_site_occupancy
Bi1 Bi 0.196 0.250 0.125 1
W1 W 0.000 0.000 0.500 1
N1 N 0.000 0.000 0.000 1
```

Summary:
- M_tot (μB per formula unit) = 0.00
- DFT total energy (eV/cell) = -92.55

---

2.
A plane-wave DFT calculation with PBE was carried out for a relaxed structure of LaTaIn2.

CIF file:
```
data_LaTaIn2
_chemical_formula_sum 'La3 Ta3 In6'
_cell_length_a 3.2145
_cell_length_b 3.2145
_cell_length_c 32.2181
_cell_angle_alpha 90.00
_cell_angle_beta 90.00
_cell_angle_gamma 120.00
_symmetry_space_group_name_H-M 'R -3 m'
_symmetry_Int_Tables_number 166
_symmetry_space_group_name_Hall '-R 3 2"'
loop_
_atom_site_label
_atom_site_type_symbol
_atom_site_fract_x
_atom_site_fract_y
_atom_site_fract_z
_atom_site_occupancy
La1 La 0.0000 0.0000 0.0000 1
Ta1 Ta 0.0000 0.0000 0.5000 1
In1 In 0.0000 0.0000 0.2420 1
```

Summary:
- M_tot (μB per formula unit) = 0.58
- DFT total energy (eV/cell) = -65.30
- formation energy from the elements (eV/atom) = 0.122

---

3.
A plane-wave DFT calculation with PBE was carried out for a relaxed structure of K2TlSiO4.

CIF file:
```
data_K2TlSiO4
_chemical_formula_sum 'K4 Tl2 Si2 O8'
_cell_length_a 5.850
_cell_length_b 5.850
_cell_length_c 8.536
_cell_angle_alpha 90.00
_cell_angle_beta 90.00
_cell_angle_gamma 90.00
_symmetry_space_group_name_H-M 'I -4'
_symmetry_Int_Tables_number 82
loop_
_symmetry_equiv_pos_as_xyz
'x,y,z'
'y,-x,-z'
'-x,-y,z'
'-y,x,-z'
'x+1/2,y+1/2,z+1/2'
'y+1/2,-x+1/2,-z+1/2'
'-x+1/2,-y+1/2,z+1/2'
'-y+1/2,x+1/2,-z+1/2'
loop_
_atom_site_label
_atom_site_type_symbol
_atom_site_fract_x
_atom_site_fract_y
_atom_site_fract_z
_atom_site_occupancy
K1 K 0.000 0.000 0.000 1
K2 K 0.000 0.500 0.250 1
Tl1 Tl 0.000 0.000 0.500 1
Si1 Si 0.000 0.500 0.750 1
O1 O 0.152 0.314 0.645 1
```

Summary:
- M_tot (μB per formula unit) = 0.83
- DFT total energy (eV/cell) = -88.68

---

4.
A plane-wave DFT calculation with PBE was carried out for a relaxed structure of MnPBr3.

CIF file:
```
data_MnPBr3
_chemical_formula_sum 'Mn1 P1 Br3'
_cell_length_a 5.119
_cell_length_b 5.119
_cell_length_c 5.119
_cell_angle_alpha 90.00
_cell_angle_beta 90.00
_cell_angle_gamma 90.00
_symmetry_space_group_name_H-M 'P m -3 m'
_symmetry_Int_Tables_number 221
_symmetry_space_group_name_Hall '-P 4 2 3'
loop_
_atom_site_label
_atom_site_type_symbol
_atom_site_fract_x
_atom_site_fract_y
_atom_site_fract_z
_atom_site_occupancy
Mn1 Mn 0.000 0.000 0.000 1
P1 P 0.500 0.500 0.500 1
Br1 Br 0.000 0.000 0.500 1
```

Summary:
- M_tot (μB per formula unit) = 4.76
- distance to the lowest polymorph of the same formula (eV per atom) = 0.004
- DFT total energy (eV/cell) = -17.85

---

Question: What is the formula in the third record?
Answer: K2TlSiO4

---

Question: The lowest DFT total energy belongs to which entry?
Answer: Bi2WN

---

Question: Which of these has the lowest DFT total energy?
Answer: Bi2WN